1.
This record from Alexandria describes a geometry-optimized BeZnInNiPd structure. The functional is GGA-PBE.

* final energy: -3.9792 eV/atom
* E above lowest polymorph: 18 meV/atom

Lattice parameters (Å, degrees): 3.035 3.034 14.995 90.00 90.00 90.00
Sites, in units of the cell vectors:
Ni 0.000 0.000 0.009
Ni 0.500 0.500 0.509
Zn 0.000 0.000 0.422
Zn 0.500 0.500 0.922
Be 0.000 0.000 0.832
Be 0.500 0.500 0.332
Pd 0.000 0.000 0.250
Pd 0.500 0.500 0.750
In 0.000 0.000 0.621
In 0.500 0.500 0.121

=====

2.
This record from Alexandria describes a geometry-optimized As2PtAu structure. The functional is GGA-PBE.

* final energy: -4.7099 eV/atom
* E above lowest polymorph: 11 meV/atom

Lattice parameters (Å, degrees): 3.730 3.730 6.688 75.37 75.37 60.35
Sites, in units of the cell vectors:
As 0.019 0.019 0.970
As 0.481 0.481 0.530
Au 0.250 0.250 0.250
Pt 0.750 0.750 0.750